[1]
Here is Cs2TlB after structural relaxation from Alexandria via LeMat-Bulk. Energies are from GGA-PBE.

Cell: 10.1587 10.1587 10.1587 Å, 92.52 92.52 155.79°
Positions (direct):
1 Cs 0.6250 0.3287 0.2037
2 Cs 0.1250 0.4213 0.7963
3 Cs 0.6713 0.8750 0.2963
4 Cs 0.5787 0.3750 0.7037
5 Tl 0.0000 0.0000 0.0000
6 Tl 0.2500 0.7500 0.5000
7 B 0.5000 0.5000 0.0000
8 B 0.7500 0.2500 0.5000

Properties
The calculation puts the uncorrected energy at -2.12 eV/atom. As for the density of states at the Fermi level: 9.04 states/eV/cell. As for the formation enthalpy at 0 K: 0.5712 eV/atom. The energy above the lowest structure with this stoichiometry is 0.00 eV/f.u.

[2]
Here is Cs2TlB after structural relaxation from Alexandria via LeMat-Bulk. Energies are from GGA-PBE.

Cell: 6.1329 6.1329 6.1329 Å, 60.00 60.00 60.00°
Positions (direct):
1 Cs 0.2500 0.2500 0.2500
2 Cs 0.7500 0.7500 0.7500
3 Tl 0.5000 0.5000 0.5000
4 B 0.0000 0.0000 0.0000

Properties
The calculation puts the uncorrected energy at -1.59 eV/atom. As for the density of states at the Fermi level: 5.74 states/eV/cell. As for the formation enthalpy at 0 K: 1.1009 eV/atom. The energy above the lowest structure with this stoichiometry is 2.12 eV/f.u.

[3]
Here is CsTl2B after structural relaxation from Alexandria via LeMat-Bulk. Energies are from GGA-PBE.

Cell: 5.5956 5.5956 5.5956 Å, 60.00 60.00 60.00°
Positions (direct):
1 Cs 0.5000 0.5000 0.5000
2 Tl 0.2500 0.2500 0.2500
3 Tl 0.7500 0.7500 0.7500
4 B 0.0000 0.0000 0.0000

Properties
The calculation puts the uncorrected energy at -1.96 eV/atom. As for the density of states at the Fermi level: 0.93 states/eV/cell. As for the formation enthalpy at 0 K: 1.1027 eV/atom. The energy above the lowest structure with this stoichiometry is 2.14 eV/f.u.

[4]
Here is CsTlB2 after structural relaxation from Alexandria via LeMat-Bulk. Energies are from GGA-PBE.

Cell: 5.1000 5.1000 5.1000 Å, 60.00 60.00 60.00°
Positions (direct):
1 Cs 0.0000 0.0000 0.0000
2 Tl 0.5000 0.5000 0.5000
3 B 0.2500 0.2500 0.2500
4 B 0.7500 0.7500 0.7500

Properties
The calculation puts the uncorrected energy at -2.22 eV/atom. As for the density of states at the Fermi level: 1.43 states/eV/cell. As for the formation enthalpy at 0 K: 1.9252 eV/atom. The energy above the lowest structure with this stoichiometry is 1.72 eV/f.u.

[5]
Here is CsTlB2 after structural relaxation from Alexandria via LeMat-Bulk. Energies are from GGA-PBE.

Cell: 5.1883 5.1883 8.6953 Å, 72.64 72.64 90.00°
Positions (direct):
1 Cs 0.5000 0.5000 0.0000
2 Cs 0.2500 0.7500 0.5000
3 Tl 0.0000 0.0000 0.0000
4 Tl 0.7500 0.2500 0.5000
5 B 0.8750 0.1250 0.2500
6 B 0.8750 0.6250 0.2500
7 B 0.3750 0.1250 0.7500
8 B 0.8750 0.1250 0.7500

Properties
The calculation puts the uncorrected energy at -2.65 eV/atom. As for the density of states at the Fermi level: 5.44 states/eV/cell. As for the formation enthalpy at 0 K: 1.4945 eV/atom. The energy above the lowest structure with this stoichiometry is 0.00 eV/f.u.

[6]
Here is CsV3B after structural relaxation from Alexandria via LeMat-Bulk. Energies are from GGA-PBE.

Cell: 4.3137 4.3137 4.3137 Å, 90.00 90.00 90.00°
Positions (direct):
1 Cs 0.5000 0.5000 0.5000
2 B 0.0000 0.0000 0.0000
3 V 0.0000 0.5000 0.0000
4 V 0.0000 0.0000 0.5000
5 V 0.5000 0.0000 0.0000

Properties
The calculation puts the uncorrected energy at -5.73 eV/atom. As for the density of states at the Fermi level: 8.05 states/eV/cell. As for the formation enthalpy at 0 K: 1.2491 eV/atom. The energy above the lowest structure with this stoichiometry is 0.00 eV/f.u.

[7]
Here is CsVB2 after structural relaxation from Alexandria via LeMat-Bulk. Energies are from GGA-PBE.

Cell: 6.0132 6.0132 7.0630 Å, 64.81 64.81 90.00°
Positions (direct):
1 Cs 0.0000 0.0000 0.0000
2 Cs 0.7500 0.2500 0.5000
3 B 0.3771 0.1250 0.2500
4 B 0.3729 0.6250 0.2500
5 B 0.3750 0.6229 0.7500
6 B 0.8750 0.6271 0.7500
7 V 0.5000 0.5000 0.0000
8 V 0.2500 0.7500 0.5000

Properties
The calculation puts the uncorrected energy at -4.60 eV/atom. As for the density of states at the Fermi level: 10.36 states/eV/cell. As for the formation enthalpy at 0 K: 1.2342 eV/atom.

[8]
Here is Cs2VB after structural relaxation from Alexandria via LeMat-Bulk. Energies are from GGA-PBE.

Cell: 5.9069 5.9069 5.9069 Å, 60.00 60.00 60.00°
Positions (direct):
1 Cs 0.2500 0.2500 0.2500
2 Cs 0.7500 0.7500 0.7500
3 B 0.0000 0.0000 0.0000
4 V 0.5000 0.5000 0.5000

Properties
The calculation puts the uncorrected energy at -2.04 eV/atom. As for the density of states at the Fermi level: 11.87 states/eV/cell. As for the formation enthalpy at 0 K: 2.3377 eV/atom.

[9]
Here is CsV3B after structural relaxation from Alexandria via LeMat-Bulk. Energies are from GGA-PBE.

Cell: 4.6919 4.6919 4.6919 Å, 90.00 90.00 90.00°
Positions (direct):
1 Cs 0.0000 0.0000 0.0000
2 B 0.5000 0.5000 0.5000
3 V 0.0000 0.5000 0.0000
4 V 0.0000 0.0000 0.5000
5 V 0.5000 0.0000 0.0000

Properties
The calculation puts the uncorrected energy at -3.60 eV/atom. As for the density of states at the Fermi level: 3.35 states/eV/cell. As for the formation enthalpy at 0 K: 3.3774 eV/atom. The energy above the lowest structure with this stoichiometry is 10.64 eV/f.u.

[10]
Here is CsVZnB2 after structural relaxation from Alexandria via LeMat-Bulk. Energies are from GGA-PBE.

Cell: 4.2424 5.2154 4.2424 Å, 90.00 90.00 90.00°
Positions (direct):
1 Cs 0.5000 0.5000 0.5000
2 Zn 0.0000 0.0000 0.0000
3 B 0.0000 0.0000 0.5000
4 B 0.5000 0.0000 0.0000
5 V 0.0000 0.5000 0.0000

Properties
The calculation puts the uncorrected energy at -3.15 eV/atom. As for the density of states at the Fermi level: 3.91 states/eV/cell. As for the formation enthalpy at 0 K: 1.7684 eV/atom.

[11]
Here is CsVZn2B after structural relaxation from Alexandria via LeMat-Bulk. Energies are from GGA-PBE.

Cell: 5.3271 4.2432 5.3271 Å, 90.00 90.00 90.00°
Positions (direct):
1 Cs 0.5000 0.5000 0.5000
2 Zn 0.0000 0.0000 0.5000
3 Zn 0.5000 0.0000 0.0000
4 B 0.0000 0.5000 0.0000
5 V 0.0000 0.0000 0.0000

Properties
The calculation puts the uncorrected energy at -3.02 eV/atom. As for the density of states at the Fermi level: 3.41 states/eV/cell. As for the formation enthalpy at 0 K: 0.8237 eV/atom.

[12]
Here is CsBW3 after structural relaxation from Alexandria via LeMat-Bulk. Energies are from GGA-PBE.

Cell: 4.4410 4.4410 4.4410 Å, 90.00 90.00 90.00°
Positions (direct):
1 Cs 0.5000 0.5000 0.5000
2 B 0.0000 0.0000 0.0000
3 W 0.0000 0.5000 0.0000
4 W 0.0000 0.0000 0.5000
5 W 0.5000 0.0000 0.0000

Properties
The calculation puts the uncorrected energy at -7.44 eV/atom. As for the density of states at the Fermi level: 4.81 states/eV/cell. As for the formation enthalpy at 0 K: 1.8372 eV/atom. The energy above the lowest structure with this stoichiometry is 0.00 eV/f.u.